The following is a PBE calculation of a relaxed structure of BaIrCl5, from Alexandria.

The calculation puts the total energy at -4.129 eV/atom. The size of the total moment comes out at 0.000 μB/f.u.

Cell lengths 7.8951, 7.8951, 9.1293 Å; angles 107.43, 107.43, 53.38 degrees
With the nearest neighbours (Å) after each atom.
Sites, in units of the cell vectors:
Ba 0.0209 0.9791 0.7500  5 Cl 3.09-3.14
Ba 0.9791 0.0209 0.2500  5 Cl 3.09-3.14
Ir 0.5000 0.5000 0.0000  6 Cl 2.36-2.38
Ir 0.5000 0.5000 0.5000  6 Cl 2.36-2.38
Cl 0.1354 0.6166 0.9130  1 Ir 2.38
Cl 0.1348 0.6190 0.4582  1 Ir 2.38
Cl 0.3810 0.8652 0.0418  1 Ir 2.38
Cl 0.3834 0.8646 0.5870  1 Ir 2.38
Cl 0.4153 0.5847 0.2500  2 Ir 2.36
Cl 0.5847 0.4153 0.7500  2 Ir 2.36
Cl 0.6166 0.1354 0.4130  1 Ir 2.38
Cl 0.6190 0.1348 0.9582  1 Ir 2.38
Cl 0.8652 0.3810 0.5418  1 Ir 2.38
Cl 0.8646 0.3834 0.0870  1 Ir 2.38

The following is a PBE calculation of a relaxed structure of BaIrCl3, from Alexandria.

The calculation puts the total energy at -3.315 eV/atom. The size of the total moment comes out at 2.970 μB/f.u.

Cell lengths 5.9850, 5.9850, 5.9850 Å; angles 90.00, 90.00, 90.00 degrees
With the nearest neighbours (Å) after each atom.
Sites, in units of the cell vectors:
Ba 0.0000 0.0000 0.0000  6 Cl 2.99
Ir 0.5000 0.5000 0.5000  12 Cl 4.23
Cl 0.0000 0.0000 0.5000  2 Ba 2.99
Cl 0.0000 0.5000 0.0000  2 Ba 2.99
Cl 0.5000 0.0000 0.0000  2 Ba 2.99

The following is a PBE calculation of a relaxed structure of Ba6Ir2Cl, from Alexandria.

The calculation puts the total energy at -3.957 eV/atom. The size of the total moment comes out at 0.000 μB/f.u.

Cell lengths 9.1458, 9.1458, 9.1458 Å; angles 51.08, 51.08, 51.08 degrees
With the nearest neighbours (Å) after each atom.
Sites, in units of the cell vectors:
Ba 0.0820 0.7139 0.4224  2 Ir 3.07-3.10, 1 Cl 3.35
Ba 0.2861 0.5776 0.9180  2 Ir 3.07-3.10, 1 Cl 3.35
Ba 0.4224 0.0820 0.7139  2 Ir 3.07-3.10, 1 Cl 3.35
Ba 0.5776 0.9180 0.2861  2 Ir 3.07-3.10, 1 Cl 3.35
Ba 0.7139 0.4224 0.0820  2 Ir 3.07-3.10, 1 Cl 3.35
Ba 0.9180 0.2861 0.5776  2 Ir 3.07-3.10, 1 Cl 3.35
Ir 0.3287 0.3287 0.3287  6 Ba 3.07-3.10
Ir 0.6713 0.6713 0.6713  6 Ba 3.07-3.10
Cl 0.5000 0.5000 0.5000  6 Ba 3.35